1.
Density functional theory data (PBE) for a relaxed Cu3BiO6 crystal.

The structure in CIF format:
```
data_Cu3BiO6
_chemical_formula_sum 'Cu18 Bi6 O36'
_cell_length_a 9.4998
_cell_length_b 9.4998
_cell_length_c 9.2034
_cell_angle_alpha 90.00
_cell_angle_beta 90.00
_cell_angle_gamma 120.00
_symmetry_space_group_name_H-M 'R -3'
_symmetry_Int_Tables_number 148
_symmetry_space_group_name_Hall '-R 3'
loop_
_atom_site_label
_atom_site_fract_x
_atom_site_fract_y
_atom_site_fract_z
Cu1 0.0271 0.3946 0.3591
Bi1 0.0000 0.0000 0.0000
Bi2 0.0000 0.0000 0.5000
O1 0.0141 0.7976 0.1279
O2 0.0462 0.8336 0.6385
```

Properties
- N(E_F) (states/eV/cell) = 16.77
- formation energy from raw total energies (eV/atom) = -0.54
- ΔE to the lowest computed polymorph (meV per atom) = 53

=====

2.
Density functional theory data (PBE) for a relaxed BaSc3N crystal.

The structure in CIF format:
```
data_BaSc3N
_chemical_formula_sum 'Ba1 Sc3 N1'
_cell_length_a 5.211
_cell_length_b 5.211
_cell_length_c 5.211
_cell_angle_alpha 90.00
_cell_angle_beta 90.00
_cell_angle_gamma 90.00
_symmetry_space_group_name_H-M 'P m -3 m'
_symmetry_Int_Tables_number 221
_symmetry_space_group_name_Hall '-P 4 2 3'
loop_
_atom_site_label
_atom_site_fract_x
_atom_site_fract_y
_atom_site_fract_z
Ba1 0.000 0.000 0.000
Sc1 0.000 0.000 0.500
N1 0.500 0.500 0.500
```

Properties
- N(E_F) (states/eV/cell) = 4.80
- formation energy from raw total energies (eV/atom) = 2.30
- ΔE to the lowest computed polymorph (meV per atom) = 2489

=====

3.
Density functional theory data (PBE) for a relaxed NbAgBi crystal.

The structure in CIF format:
```
data_NbAgBi
_chemical_formula_sum 'Nb2 Ag2 Bi2'
_cell_length_a 3.663
_cell_length_b 3.663
_cell_length_c 10.948
_cell_angle_alpha 90.00
_cell_angle_beta 90.00
_cell_angle_gamma 90.00
_symmetry_space_group_name_H-M 'P 4/n m m'
_symmetry_Int_Tables_number 129
loop_
_symmetry_equiv_pos_as_xyz
'x,y,z'
'-x,-y,-z'
'-y+1/2,x,z'
'y+1/2,-x,-z'
'-x+1/2,-y+1/2,z'
'x+1/2,y+1/2,-z'
'y,-x+1/2,z'
'-y,x+1/2,-z'
'x+1/2,-y,-z'
'-x+1/2,y,z'
'-y,-x,-z'
'y,x,z'
'-x,y+1/2,-z'
'x,-y+1/2,z'
'y+1/2,x+1/2,-z'
'-y+1/2,-x+1/2,z'
loop_
_atom_site_label
_atom_site_fract_x
_atom_site_fract_y
_atom_site_fract_z
Nb1 0.250 0.250 0.066
Ag1 0.250 0.750 0.500
Bi1 0.250 0.250 0.784
```

Properties
- ΔH_f (0 K) (eV/atom) = 0.24
- N(E_F) (states/eV/cell) = 4.39

=====

4.
Density functional theory data (PBE) for a relaxed ZnSb2PbI crystal.

The structure in CIF format:
```
data_ZnSb2PbI
_chemical_formula_sum 'Zn1 Sb2 Pb1 I1'
_cell_length_a 5.982
_cell_length_b 5.982
_cell_length_c 6.271
_cell_angle_alpha 90.00
_cell_angle_beta 90.00
_cell_angle_gamma 90.00
_symmetry_space_group_name_H-M 'P 4/m m m'
_symmetry_Int_Tables_number 123
_symmetry_space_group_name_Hall '-P 4 2'
loop_
_atom_site_label
_atom_site_fract_x
_atom_site_fract_y
_atom_site_fract_z
Zn1 0.000 0.000 0.000
Sb1 0.000 0.500 0.500
Pb1 0.500 0.500 0.500
I1 0.500 0.500 0.000
```

Properties
- N(E_F) (states/eV/cell) = 4.65
- formation energy from raw total energies (eV/atom) = 0.73
- ΔE to the lowest computed polymorph (meV per atom) = 416

=====

5.
Density functional theory data (PBE) for a relaxed Mn3VCl crystal.

The structure in CIF format:
```
data_Mn3VCl
_chemical_formula_sum 'Mn3 V1 Cl1'
_cell_length_a 4.237
_cell_length_b 4.237
_cell_length_c 4.237
_cell_angle_alpha 90.00
_cell_angle_beta 90.00
_cell_angle_gamma 90.00
_symmetry_space_group_name_H-M 'P m -3 m'
_symmetry_Int_Tables_number 221
_symmetry_space_group_name_Hall '-P 4 2 3'
loop_
_atom_site_label
_atom_site_fract_x
_atom_site_fract_y
_atom_site_fract_z
Mn1 0.000 0.000 0.500
V1 0.500 0.500 0.500
Cl1 0.000 0.000 0.000
```

Properties
- N(E_F) (states/eV/cell) = 4.02
- formation energy from raw total energies (eV/atom) = 0.74
- ΔE to the lowest computed polymorph (meV per atom) = 0

=====

6.
Density functional theory data (PBE) for a relaxed Rb2ZrInCl6 crystal.

The structure in CIF format:
```
data_Rb2ZrInCl6
_chemical_formula_sum 'Rb8 Zr4 In4 Cl24'
_cell_length_a 11.175
_cell_length_b 11.175
_cell_length_c 11.175
_cell_angle_alpha 90.00
_cell_angle_beta 90.00
_cell_angle_gamma 90.00
_symmetry_space_group_name_H-M 'F m -3 m'
_symmetry_Int_Tables_number 225
_symmetry_space_group_name_Hall '-F 4 2 3'
loop_
_atom_site_label
_atom_site_fract_x
_atom_site_fract_y
_atom_site_fract_z
Rb1 0.250 0.250 0.250
Zr1 0.000 0.000 0.000
In1 0.000 0.000 0.500
Cl1 0.000 0.000 0.229
```

Properties
- N(E_F) (states/eV/cell) = 28.88
- formation energy from raw total energies (eV/atom) = -1.59
- ΔE to the lowest computed polymorph (meV per atom) = 0